[1]
Density functional theory data (PBE) for a relaxed BePtW crystal.

Cell: 5.732 3.108 9.080 Å, 90.00 90.00 90.00°
Fractional positions:
Pt (0.389, 0.250, 0.384)
W (0.133, 0.750, 0.575)
Pt (0.111, 0.750, 0.884)
W (0.367, 0.250, 0.075)
Be (0.863, 0.250, 0.734)
Be (0.637, 0.750, 0.234)
W (0.867, 0.250, 0.425)
Be (0.137, 0.750, 0.266)
Be (0.363, 0.250, 0.766)
Pt (0.889, 0.250, 0.116)
Pt (0.611, 0.750, 0.616)
W (0.633, 0.750, 0.925)

Computed properties:
Electronic total energy ... -7.84 eV/atom
M_tot ... 0.0 μB per cell
Energy relative to the lowest polymorph listed for this composition ... 0.077 eV per atom
ΔE_f ... -264 meV per atom

---

[2]
Density functional theory data (PBE) for a relaxed Sr2CrCl crystal.

Cell: 10.821 10.821 10.821 Å, 22.11 22.11 22.11°
Each line ends with the local moment (μB).
Fractional positions:
Sr (0.010, 0.010, 0.010)  0.05
Cl (0.508, 0.508, 0.508)  0.01
Cr (0.753, 0.753, 0.753)  4.21
Sr (0.229, 0.229, 0.229)  -0.01

Computed properties:
Electronic total energy ... -3.86 eV/atom
Raw formation energy ... -0.156 eV per atom
M_tot ... 5.1 μB per cell
Energy relative to the lowest polymorph listed for this composition ... 0.263 eV per atom

---

[3]
Density functional theory data (PBE) for a relaxed Ti2MoIr crystal.

Cell: 3.092 4.442 4.442 Å, 90.00 90.00 90.00°
Fractional positions:
Ir (0.500, 0.000, 0.000)
Ti (0.000, 0.000, 0.500)
Ti (0.000, 0.500, 0.000)
Mo (0.500, 0.500, 0.500)

Computed properties:
Electronic total energy ... -9.49 eV/atom
M_tot ... 0.0 μB per cell
Energy relative to the lowest polymorph listed for this composition ... 0.014 eV per atom
ΔE_f ... -615 meV per atom

---

[4]
Density functional theory data (PBE) for a relaxed MnPbCl crystal.

Cell: 4.758 4.758 4.758 Å, 60.00 60.00 60.00°
Each line ends with the local moment (μB).
Fractional positions:
Pb (0.000, 0.000, 0.000)  -0.24
Cl (0.500, 0.500, 0.500)  0.02
Mn (0.750, 0.750, 0.750)  3.75

Computed properties:
Electronic total energy ... -4.61 eV/atom
Raw formation energy ... 0.294 eV per atom
M_tot ... 3.5 μB per cell
Energy relative to the lowest polymorph listed for this composition ... 0.575 eV per atom

---

[5]
Density functional theory data (PBE) for a relaxed ThH6IrPd crystal.

Cell: 4.787 4.786 4.246 Å, 90.00 90.00 59.99°
Fractional positions:
H (0.021, 0.490, 0.225)
H (0.489, 0.021, 0.225)
H (0.021, 0.489, 0.775)
H (0.490, 0.021, 0.775)
H (0.490, 0.489, 0.225)
Th (0.000, 0.000, 0.000)
Ir (0.333, 0.333, 0.500)
Pd (0.667, 0.667, 0.500)
H (0.489, 0.490, 0.775)

Computed properties:
Electronic total energy ... -4.93 eV/atom
M_tot ... 0.0 μB per cell

---

[6]
Density functional theory data (PBE) for a relaxed LiGdScBe crystal.

Cell: 4.854 4.854 4.854 Å, 60.00 60.00 60.00°
Each line ends with the local moment (μB).
Fractional positions:
Gd (0.250, 0.250, 0.250)  7.17
Sc (0.750, 0.750, 0.750)  0.15
Li (0.000, 0.000, 0.000)  0.03
Be (0.500, 0.500, 0.500)  -0.01

Computed properties:
Electronic total energy ... -6.38 eV/atom
M_tot ... 7.7 μB per cell
ΔE_f ... 133 meV per atom